This record from the Open Quantum Materials Database describes a relaxed structure of NaScFeSe3. The functional is PBE-GGA.

Output
Its space group is P2_1/m (11). For the energy above the most stable polymorph in this dataset, the calculation gives 0 meV per atom. Its crystal system is monoclinic. The volume comes out at 23.4 Å³ per atom.

a = 8.289 Å, b = 3.845 Å, c = 9.159 Å
α = 90.00°, β = 106.06°, γ = 90.00°
Site moments in Bohr magnetons follow the coordinates.
Element x y z (fractional)
Fe (0.928, 0.750, 0.411)  3.01
Fe (0.072, 0.250, 0.589)  3.01
Na (0.200, 0.250, 0.227)  0.00
Na (0.800, 0.750, 0.773)  0.00
Sc (0.666, 0.250, 0.146)  0.05
Sc (0.334, 0.750, 0.854)  0.05
Se (0.899, 0.750, 0.142)  0.09
Se (0.444, 0.750, 0.159)  0.03
Se (0.767, 0.250, 0.468)  0.12
Se (0.233, 0.750, 0.532)  0.12
Se (0.556, 0.250, 0.841)  0.03
Se (0.101, 0.250, 0.858)  0.09